1.
A plane-wave DFT calculation with PBE-GGA was carried out for a relaxed structure of CsLiIn2I8.

The value obtained for the total energy is -30.39 eV for the cell shown. The uncorrected formation energy is -0.81 eV/atom.

It has space group P-3 (No. 147), with a = 7.6332 Å, b = 7.6332 Å, c = 10.8636 Å, α = 90.00°, β = 90.00° and γ = 120.00°. Symmetry generates all atoms from Cs at (0.0000, 0.0000, 0.0000), Li at (0.0000, 0.0000, 0.5000), In at (0.3333, 0.6667, 0.7406), I at (0.0085, 0.6878, 0.3312) and I at (0.3333, 0.6667, 0.9952).

***

2.
A plane-wave DFT calculation with PBE-GGA was carried out for a relaxed structure of CuPt.

The formation energy comes out at -0.14 eV/atom. The value obtained for the total energy is -83.35 eV for the cell shown.

It has space group Imma (No. 74), with a = 3.7225 Å, b = 3.8708 Å, c = 15.5011 Å, α = 90.00°, β = 90.00° and γ = 90.00°. Symmetry generates all atoms from Cu at (0.0000, 0.2500, 0.0625), Cu at (0.0000, 0.2500, 0.8118), Pt at (0.0000, 0.2500, 0.3137) and Pt at (0.0000, 0.2500, 0.5621).

***

3.
A plane-wave DFT calculation with PBE-GGA was carried out for a relaxed structure of PuScS2O.

The value obtained for the total energy is -90.26 eV for the cell shown. The uncorrected formation energy is -2.25 eV/atom.

It has space group P4/nmm (No. 129, origin choice 2), with a = 3.7542 Å, b = 3.7542 Å, c = 13.1774 Å, α = 90.00°, β = 90.00° and γ = 90.00°. Symmetry generates all atoms from Pu at (0.2500, 0.2500, 0.0992), Sc at (0.2500, 0.2500, 0.6102), S at (0.2500, 0.2500, 0.4071), S at (0.2500, 0.2500, 0.7966) and O at (0.2500, 0.7500, 0.0000).